Entry 1:
The following is a PBE calculation of crystalline La4P at its relaxed geometry, from the Alexandria database.

Polymorph energy (0 for the lowest one), meV/atom: 0.0

POSCAR file:
```
La4P
1.0
5.719 0.000 0.000
0.000 5.719 0.000
0.000 0.000 5.719
La P
4 1
direct
0.000 0.000 0.000 La
0.000 0.500 0.500 La
0.500 0.000 0.500 La
0.500 0.500 0.000 La
0.500 0.500 0.500 P
```

=====

Entry 2:
The following is a PBE calculation of crystalline Tm2ZnGa4Ni3 at its relaxed geometry, from the Alexandria database.

DFT total energy, eV/atom: -4.501

POSCAR file:
```
Tm2ZnGa4Ni3
1.0
3.987 0.000 0.000
0.000 3.987 0.000
0.000 0.000 10.412
Tm Zn Ga Ni
2 1 4 3
direct
0.000 0.500 0.239 Tm
0.500 0.000 0.761 Tm
0.000 0.000 0.500 Zn
0.000 0.000 0.000 Ga
0.000 0.500 0.642 Ga
0.500 0.000 0.358 Ga
0.500 0.500 0.000 Ga
0.000 0.500 0.866 Ni
0.500 0.000 0.134 Ni
0.500 0.500 0.500 Ni
```

=====

Entry 3:
The following is a PBE calculation of crystalline LaPr12Tm7 at its relaxed geometry, from the Alexandria database.

Polymorph energy (0 for the lowest one), meV/atom: 109.4

POSCAR file:
```
LaPr12Tm7
1.0
9.862 5.694 2.085
-9.862 5.694 2.085
0.000 -11.388 2.085
La Pr Tm
1 12 7
direct
0.000 0.000 0.000 La
0.072 0.425 0.426 Pr
0.087 0.498 0.911 Pr
0.089 0.913 0.502 Pr
0.425 0.426 0.072 Pr
0.426 0.072 0.425 Pr
0.498 0.911 0.087 Pr
0.502 0.089 0.913 Pr
0.574 0.928 0.575 Pr
0.575 0.574 0.928 Pr
0.911 0.087 0.498 Pr
0.913 0.502 0.089 Pr
0.928 0.575 0.574 Pr
0.121 0.367 0.123 Tm
0.123 0.121 0.367 Tm
0.367 0.123 0.121 Tm
0.500 0.500 0.500 Tm
0.633 0.877 0.879 Tm
0.877 0.879 0.633 Tm
0.879 0.633 0.877 Tm
```

=====

Entry 4:
The following is a PBE calculation of crystalline In2TeCl2 at its relaxed geometry, from the Alexandria database.

Uncorrected formation energy, eV per atom: -0.52

POSCAR file:
```
In2TeCl2
1.0
8.630 0.000 0.000
0.000 8.630 0.000
0.000 0.000 4.113
In Te Cl
4 2 4
direct
0.221 0.279 0.000 In
0.279 0.779 0.000 In
0.721 0.221 0.000 In
0.779 0.721 0.000 In
0.000 0.000 0.000 Te
0.500 0.500 0.000 Te
0.132 0.632 0.500 Cl
0.368 0.132 0.500 Cl
0.632 0.868 0.500 Cl
0.868 0.368 0.500 Cl
```

=====

Entry 5:
The following is a PBE calculation of crystalline CaTcSCl2 at its relaxed geometry, from the Alexandria database.

Uncorrected formation energy, eV per atom: -0.70
Polymorph energy (0 for the lowest one), meV/atom: 0.0

POSCAR file:
```
CaTcSCl2
1.0
4.908 0.000 0.000
0.000 4.908 0.000
0.000 0.000 4.613
Ca Tc S Cl
1 1 1 2
direct
0.000 0.000 0.000 Ca
0.500 0.500 0.500 Tc
0.500 0.500 0.000 S
0.000 0.500 0.500 Cl
0.500 0.000 0.500 Cl
```